Here is crystalline Co3MoC at its relaxed geometry from Alexandria. Energies are from GGA-PBE.

Cell lengths 4.385, 4.385, 4.385 Å; angles 90.00, 90.00, 90.00 degrees
Space group Pm-3m (No. 221)
Unique sites:
Co (0.000, 0.000, 0.500) [3 per cell]
Mo (0.000, 0.000, 0.000) [1 per cell]
C (0.500, 0.500, 0.500) [1 per cell]

Computed properties:
energy above the most stable polymorph in this dataset = 12.13 eV/f.u.
E = -5.546 eV/atom
V = 84.3 Å³/cell
N(E_F) = 1.31 states/eV/atom
M_tot = 1.54 μB per cell